Entry 1:
VASP calculation (PBE) on a geometry-optimized AsAuSeO structure.

For the calculated volume, the calculation gives 21.979 Å³ per atom.

It has space group Pmc2_1 (No. 26), with a = 4.007 Å, b = 8.460 Å, c = 5.186 Å, α = 90.00°, β = 90.00° and γ = 90.00°. Symmetry generates all atoms from As at (0.000, 0.134, 0.000), Au at (0.500, 0.322, 0.020), Se at (0.500, 0.379, 0.519) and O at (0.000, 0.051, 0.678).



Entry 2:
VASP calculation (PBE) on a geometry-optimized SiAsAuO structure.

For the calculated volume, the calculation gives 16.213 Å³ per atom.

It has space group P4/nmm (No. 129, origin choice 2), with a = 3.707 Å, b = 3.707 Å, c = 9.439 Å, α = 90.00°, β = 90.00° and γ = 90.00°. Symmetry generates all atoms from Si at (0.250, 0.250, 0.098), As at (0.250, 0.250, 0.708), Au at (0.250, 0.750, 0.500) and O at (0.250, 0.750, 0.000).



Entry 3:
VASP calculation (PBE) on a geometry-optimized SiAsAuO structure.

For the calculated volume, the calculation gives 19.655 Å³ per atom.

It has space group Pmc2_1 (No. 26), with a = 3.707 Å, b = 8.814 Å, c = 4.813 Å, α = 90.00°, β = 90.00° and γ = 90.00°. Symmetry generates all atoms from Si at (0.000, 0.113, 0.000), As at (0.500, 0.277, 0.950), Au at (0.500, 0.358, 0.452) and O at (0.000, 0.043, 0.315).



Number 1: polymorph energy (0 for the lowest one) 0.1722 eV/atom. Number 2: polymorph energy (0 for the lowest one) 0.6869 eV/atom. Number 3: polymorph energy (0 for the lowest one) 0.0000 eV/atom.